NbGe2Pb | GGA-PBE | optimized geometry

## Properties
As for the density of states at the Fermi level: 9.596 states/eV/cell. The calculation puts the formation energy from the elements at 566.0 meV/atom. The value obtained for the calculated volume is 120 Å³/f.u. The value obtained for the mass density is 6.2 g/cm3.

abc: 6.2424 6.2424 12.2847
angles: 90.00 90.00 90.00
Last column: nearest neighbours and their distance in Å.
Space group I-42d (No. 122)
Symmetry-distinct sites (fractional):
Nb 0.0000 0.0000 0.0000 [4 per cell]  4 Ge 2.54
Ge 0.2056 0.2500 0.1250 [8 per cell]  2 Nb 2.54
Pb 0.0000 0.0000 0.5000 [4 per cell]  4 Ge 2.86